# PBE Ba3Cd2Ge3, optimized geometry
# ΔH_f (0 K): -0.47 eV per atom
# total energy: -25.238 eV per formula unit
# density of states at the Fermi level: 0.90 states/eV/f.u.
# magnetic moment: 0.00 μB per formula unit
data_Ba3Cd2Ge3
_space_group_name_H-M_alt 'C m c m'
_space_group_IT_number 63
_space_group_name_Hall '-C 2c 2'
_cell_length_a 5.095
_cell_length_b 11.634
_cell_length_c 16.375
_cell_angle_alpha 90.00
_cell_angle_beta 90.00
_cell_angle_gamma 90.00
loop_
_atom_site_label
_atom_site_type_symbol
_atom_site_fract_x
_atom_site_fract_y
_atom_site_fract_z
Ba1 Ba 0.000 0.101 0.109
Ba2 Ba 0.000 0.387 0.250
Cd1 Cd 0.000 0.202 0.594
Ge1 Ge 0.000 0.311 0.750
Ge2 Ge 0.000 0.394 0.031

=====

# PBE Ca2ScHg2, optimized geometry
# ΔH_f (0 K): -0.03 eV per atom
# energy above the lowest structure with this stoichiometry: 299.7 meV/atom
# total energy: -11.090 eV per formula unit
# density of states at the Fermi level: 7.42 states/eV/f.u.
# magnetic moment: 0.94 μB per formula unit
data_Ca2ScHg2
_space_group_name_H-M_alt 'I 4/m m m'
_space_group_IT_number 139
_space_group_name_Hall '-I 4 2'
_cell_length_a 4.712
_cell_length_b 4.712
_cell_length_c 13.346
_cell_angle_alpha 90.00
_cell_angle_beta 90.00
_cell_angle_gamma 90.00
loop_
_atom_site_label
_atom_site_type_symbol
_atom_site_fract_x
_atom_site_fract_y
_atom_site_fract_z
Ca1 Ca 0.000 0.500 0.250
Sc1 Sc 0.000 0.000 0.000
Hg1 Hg 0.000 0.000 0.398

=====

Q: Look up the total energy of the second one.
A: -11.090 eV per formula unit

=====

Q: Look up the total energy of the first one.
A: -25.238 eV per formula unit